This record from the Alexandria database describes KCaB2F8 after structural relaxation. The functional is PBE-GGA.

Lattice parameters (Å, degrees): 9.4499 9.4499 9.4499 29.59 29.59 29.59
Last column: nearest neighbours and their distance in Å.
Positions (direct):
K (0.0000, 0.0000, 0.0000)  12 F 2.87-3.20
Ca (0.5000, 0.5000, 0.5000)  6 F 2.53
B (0.2549, 0.2549, 0.2549)  4 F 1.42-1.43
B (0.7451, 0.7451, 0.7451)  4 F 1.42-1.43
F (0.0606, 0.7148, 0.5086)  1 B 1.42
F (0.2852, 0.4914, 0.9394)  1 B 1.42
F (0.3077, 0.3077, 0.3077)  1 B 1.43
F (0.4914, 0.9394, 0.2852)  1 B 1.42
F (0.5086, 0.0606, 0.7148)  1 B 1.42
F (0.6923, 0.6923, 0.6923)  1 B 1.43
F (0.7148, 0.5086, 0.0606)  1 B 1.42
F (0.9394, 0.2852, 0.4914)  1 B 1.42

Results
- raw total energy (eV per atom) = -5.499
- total moment (μB/f.u.) = 0.0
- energy relative to the elements, uncorrected (eV per atom) = -2.881
- mass density (Mg/m³) = 2.304